No. 1
Material: BeRe2BiSb
Method: DFT, PBE-GGA
State: optimized geometry

Cell lengths 5.104, 5.104, 5.759 Å; angles 90.00, 90.00, 90.00 degrees
Space group P4/mmm (No. 123)
Asymmetric unit:
Be  0.000  0.000  0.000 [1 per cell]
Re  0.000  0.500  0.500 [2 per cell]
Bi  0.500  0.500  0.500 [1 per cell]
Sb  0.500  0.500  0.000 [1 per cell]

Calculated values
- Energy: -4.338 eV/atom

No. 2
Material: GaSiHgOsRh
Method: DFT, PBE-GGA
State: optimized geometry

Cell lengths 12.868, 2.904, 4.611 Å; angles 90.00, 98.89, 90.00 degrees
Space group Cm (No. 8)
Asymmetric unit:
Ga  0.000  0.000  0.000 [2 per cell]
Si  0.162  0.000  0.580 [2 per cell]
Hg  0.300  0.000  0.136 [2 per cell]
Os  0.015  0.500  0.507 [2 per cell]
Rh  0.312  0.500  0.640 [2 per cell]

Calculated values
- Distance to the lowest polymorph of the same formula: 216 meV/atom

No. 3
Material: SiOs3Au
Method: DFT, PBE-GGA
State: optimized geometry

Cell lengths 4.875, 4.875, 4.875 Å; angles 90.00, 90.00, 90.00 degrees
Space group Pm-3m (No. 221)
Asymmetric unit:
Si  0.000  0.000  0.000 [1 per cell]
Os  0.000  0.500  0.500 [3 per cell]
Au  0.500  0.500  0.500 [1 per cell]

Calculated values
- Distance to the lowest polymorph of the same formula: 1799 meV/atom